# Na3LiHg6 | Alexandria via LeMat-Bulk | PBE | optimized geometry
data_Na3LiHg6
_cell_length_a 8.832
_cell_length_b 5.157
_cell_length_c 11.365
_cell_angle_alpha 90.00
_cell_angle_beta 109.42
_cell_angle_gamma 90.00
_space_group_name_H-M_alt 'P 1 21/m 1'
_space_group_IT_number 11
loop_
_space_group_symop_operation_xyz
'x,y,z'
'-x,-y,-z'
'-x,y+1/2,-z'
'x,-y+1/2,z'
loop_
_atom_site_label
_atom_site_fract_x
_atom_site_fract_y
_atom_site_fract_z
Na1 0.038 0.250 0.387
Na2 0.131 0.750 0.228
Na3 0.285 0.250 0.993
Li1 0.465 0.250 0.575
Hg1 0.032 0.750 0.931
Hg2 0.192 0.250 0.677
Hg3 0.274 0.750 0.525
Hg4 0.335 0.750 0.846
Hg5 0.368 0.250 0.306
Hg6 0.442 0.750 0.154
# - Calculated total energy: -1.008 eV/atom